[1]
! SiRu2Au PBE-GGA relaxed; values from VASP
! Space group ... Cmmm (65)
! ΔE_f (raw) ... 67 meV per atom
! N(E_F) ... 4.25 states/eV/f.u.
&SYSTEM
  ibrav = 0, nat = 4, ntyp = 3
/
ATOMIC_SPECIES
Au 196.97 Au.upf
Ru 101.07 Ru.upf
Si 28.09 Si.upf
CELL_PARAMETERS angstrom
2.782 0.009 0.000
-1.250 2.485 0.000
0.000 0.000 8.627
ATOMIC_POSITIONS crystal
Au 0.500 0.500 0.750
Ru 0.000 0.000 0.037
Ru 0.000 0.000 0.463
Si 0.500 0.500 0.250



[2]
! SiRuAu2 PBE-GGA relaxed; values from VASP
! Space group ... R-3m (166)
! ΔE_f (raw) ... 355 meV per atom
! N(E_F) ... 1.58 states/eV/f.u.
&SYSTEM
  ibrav = 0, nat = 4, ntyp = 3
/
ATOMIC_SPECIES
Au 196.97 Au.upf
Ru 101.07 Ru.upf
Si 28.09 Si.upf
CELL_PARAMETERS angstrom
8.915 -0.004 -0.003
8.438 2.875 -0.003
8.438 1.396 2.514
ATOMIC_POSITIONS crystal
Au 0.004 0.004 0.004
Au 0.496 0.496 0.496
Ru 0.250 0.250 0.250
Si 0.750 0.750 0.750



[3]
! SiRuAu2 PBE-GGA relaxed; values from VASP
! Space group ... I4/mmm (139)
! ΔE_f (raw) ... 316 meV per atom
! N(E_F) ... 2.57 states/eV/f.u.
&SYSTEM
  ibrav = 0, nat = 4, ntyp = 3
/
ATOMIC_SPECIES
Au 196.97 Au.upf
Ru 101.07 Ru.upf
Si 28.09 Si.upf
CELL_PARAMETERS angstrom
5.164 0.002 0.000
2.314 4.617 0.000
-3.739 -2.310 2.712
ATOMIC_POSITIONS crystal
Au 0.000 0.000 0.000
Au 0.500 0.500 0.000
Ru 0.250 0.750 0.500
Si 0.750 0.250 0.500



[4]
! Si3RuAu PBE-GGA relaxed; values from VASP
! Space group ... Pm-3m (221)
! ΔE to the lowest computed polymorph ... 0.0 kJ/mol of atoms
! ΔE_f (raw) ... 374 meV per atom
! N(E_F) ... 4.90 states/eV/f.u.
&SYSTEM
  ibrav = 0, nat = 5, ntyp = 3
/
ATOMIC_SPECIES
Ru 101.07 Ru.upf
Si 28.09 Si.upf
Au 196.97 Au.upf
CELL_PARAMETERS angstrom
4.611 0.000 0.000
0.000 4.611 0.000
0.000 0.000 4.611
ATOMIC_POSITIONS crystal
Ru 0.000 0.000 0.000
Si 0.000 0.500 0.000
Si 0.000 0.000 0.500
Si 0.500 0.000 0.000
Au 0.500 0.500 0.500



[5]
! SiRu3Au PBE-GGA relaxed; values from VASP
! Space group ... Pm-3m (221)
! ΔE to the lowest computed polymorph ... 0.0 kJ/mol of atoms
! ΔE_f (raw) ... 761 meV per atom
! N(E_F) ... 5.58 states/eV/f.u.
&SYSTEM
  ibrav = 0, nat = 5, ntyp = 3
/
ATOMIC_SPECIES
Ru 101.07 Ru.upf
Si 28.09 Si.upf
Au 196.97 Au.upf
CELL_PARAMETERS angstrom
-3.243 1.984 2.191
1.258 -2.016 3.689
2.674 3.355 0.921
ATOMIC_POSITIONS crystal
Ru 0.000 0.500 0.000
Ru 0.000 0.000 0.500
Ru 0.500 0.000 0.000
Si 0.000 0.000 0.000
Au 0.500 0.500 0.500



[6]
! SiRu2Au PBE-GGA relaxed; values from VASP
! Space group ... P2/m (10)
! ΔE_f (raw) ... -50 meV per atom
! N(E_F) ... 3.54 states/eV/f.u.
&SYSTEM
  ibrav = 0, nat = 4, ntyp = 3
/
ATOMIC_SPECIES
Au 196.97 Au.upf
Ru 101.07 Ru.upf
Si 28.09 Si.upf
CELL_PARAMETERS angstrom
-1.640 1.894 2.852
-2.021 -2.084 0.222
1.864 -3.868 3.641
ATOMIC_POSITIONS crystal
Au 0.500 0.750 0.750
Ru 0.000 0.106 0.031
Ru 0.000 0.394 0.469
Si 0.500 0.250 0.250



Number 1: volume 14.9 A^3/atom. Number 2: volume 16.1 A^3/atom. Number 3: volume 16.2 A^3/atom. Number 4: volume 19.6 A^3/atom. Number 5: volume 16.9 A^3/atom. Number 6: volume 14.8 A^3/atom.